(1)
# Pr7Ho2Th2 GGA-PBE optimized geometry
# Total magnetization = 0.000 μB/atom
data_Pr7Ho2Th2
_space_group_name_H-M_alt 'C 1 2/m 1'
_space_group_IT_number 12
_cell_length_a 11.720
_cell_length_b 11.584
_cell_length_c 6.126
_cell_angle_alpha 90.00
_cell_angle_beta 112.29
_cell_angle_gamma 90.00
loop_
_space_group_symop_operation_xyz
'x,y,z'
'-x,-y,-z'
'-x,y,-z'
'x,-y,z'
'x+1/2,y+1/2,z'
'-x+1/2,-y+1/2,-z'
'-x+1/2,y+1/2,-z'
'x+1/2,-y+1/2,z'
loop_
_atom_site_label
_atom_site_fract_x
_atom_site_fract_y
_atom_site_fract_z
Pr1 0.000 0.000 0.000
Pr2 0.065 0.500 0.795
Pr3 0.186 0.223 0.180
Ho1 0.222 0.000 0.604
Th1 0.000 0.214 0.500


(2)
# Pr7Ho2Th2 GGA-PBE optimized geometry
# Total magnetization = 0.000 μB/atom
data_Pr7Ho2Th2
_space_group_name_H-M_alt 'C 1 2/m 1'
_space_group_IT_number 12
_cell_length_a 11.594
_cell_length_b 11.541
_cell_length_c 6.180
_cell_angle_alpha 90.00
_cell_angle_beta 111.79
_cell_angle_gamma 90.00
loop_
_space_group_symop_operation_xyz
'x,y,z'
'-x,-y,-z'
'-x,y,-z'
'x,-y,z'
'x+1/2,y+1/2,z'
'-x+1/2,-y+1/2,-z'
'-x+1/2,y+1/2,-z'
'x+1/2,-y+1/2,z'
loop_
_atom_site_label
_atom_site_fract_x
_atom_site_fract_y
_atom_site_fract_z
Pr1 0.000 0.000 0.000
Pr2 0.181 0.231 0.174
Pr3 0.230 0.000 0.597
Ho1 0.000 0.224 0.500
Th1 0.070 0.500 0.801


Preferred: (2); penalty for the next structure: 7 meV/atom.